Entry 1:
Entry from Alexandria: crystalline La5PS4 at its relaxed geometry (PBE-GGA).

CIF file:
```
data_La5PS4
_chemical_formula_sum 'La10 P2 S8'
_cell_length_a 4.181
_cell_length_b 4.181
_cell_length_c 29.569
_cell_angle_alpha 90.00
_cell_angle_beta 90.00
_cell_angle_gamma 90.00
_symmetry_space_group_name_H-M 'I 4/m m m'
_symmetry_Int_Tables_number 139
_symmetry_space_group_name_Hall '-I 4 2'
loop_
_atom_site_label
_atom_site_type_symbol
_atom_site_fract_x
_atom_site_fract_y
_atom_site_fract_z
La1 La 0.000 0.000 0.000
La2 La 0.000 0.000 0.201
La3 La 0.000 0.000 0.401
P1 P 0.000 0.000 0.500
S1 S 0.000 0.000 0.101
S2 S 0.000 0.000 0.300
```

Results
E	-6.726	eV/atom
E_form (uncorrected)	-2071	meV/atom

Entry 2:
Entry from Alexandria: crystalline La4P3S at its relaxed geometry (PBE-GGA).

CIF file:
```
data_La4P3S
_chemical_formula_sum 'La8 P6 S2'
_cell_length_a 8.496
_cell_length_b 12.003
_cell_length_c 4.250
_cell_angle_alpha 90.00
_cell_angle_beta 90.00
_cell_angle_gamma 90.00
_symmetry_space_group_name_H-M 'C m m m'
_symmetry_Int_Tables_number 65
_symmetry_space_group_name_Hall '-C 2 2'
loop_
_atom_site_label
_atom_site_type_symbol
_atom_site_fract_x
_atom_site_fract_y
_atom_site_fract_z
La1 La 0.000 0.249 0.000
La2 La 0.246 0.000 0.500
P1 P 0.000 0.000 0.000
P2 P 0.250 0.250 0.500
S1 S 0.000 0.500 0.000
```

Results
E	-6.783	eV/atom
E_form (uncorrected)	-1775	meV/atom

Entry 3:
Entry from Alexandria: crystalline La7PS5 at its relaxed geometry (PBE-GGA).

CIF file:
```
data_La7PS5
_chemical_formula_sum 'La14 P2 S10'
_cell_length_a 4.113
_cell_length_b 7.176
_cell_length_c 24.197
_cell_angle_alpha 90.01
_cell_angle_beta 90.00
_cell_angle_gamma 106.59
_symmetry_space_group_name_H-M 'P 1'
_symmetry_Int_Tables_number 1
_symmetry_space_group_name_Hall 'P 1'
loop_
_atom_site_label
_atom_site_type_symbol
_atom_site_fract_x
_atom_site_fract_y
_atom_site_fract_z
La1 La 0.000 0.000 0.000
La2 La 0.000 0.000 0.133
La3 La 0.101 0.203 0.431
La4 La 0.101 0.203 0.703
La5 La 0.284 0.568 0.203
La6 La 0.285 0.569 0.931
La7 La 0.385 0.771 0.500
La8 La 0.386 0.772 0.633
La9 La 0.554 0.109 0.280
La10 La 0.554 0.110 0.853
La11 La 0.659 0.319 0.567
La12 La 0.726 0.452 0.067
La13 La 0.831 0.662 0.353
La14 La 0.831 0.662 0.780
P1 P 0.006 0.013 0.567
P2 P 0.379 0.758 0.066
S1 S 0.193 0.385 0.317
S2 S 0.193 0.386 0.817
S3 S 0.466 0.933 0.390
S4 S 0.466 0.933 0.743
S5 S 0.640 0.281 0.173
S6 S 0.641 0.282 0.960
S7 S 0.745 0.490 0.460
S8 S 0.745 0.490 0.673
S9 S 0.919 0.838 0.243
S10 S 0.919 0.839 0.890
```

Results
E	-6.530	eV/atom
E_form (uncorrected)	-1873	meV/atom

Entry 4:
Entry from Alexandria: crystalline La3PS at its relaxed geometry (PBE-GGA).

CIF file:
```
data_La3PS
_chemical_formula_sum 'La3 P1 S1'
_cell_length_a 5.369
_cell_length_b 5.369
_cell_length_c 5.369
_cell_angle_alpha 90.00
_cell_angle_beta 90.00
_cell_angle_gamma 90.00
_symmetry_space_group_name_H-M 'P m -3 m'
_symmetry_Int_Tables_number 221
_symmetry_space_group_name_Hall '-P 4 2 3'
loop_
_atom_site_label
_atom_site_type_symbol
_atom_site_fract_x
_atom_site_fract_y
_atom_site_fract_z
La1 La 0.000 0.000 0.500
P1 P 0.500 0.500 0.500
S1 S 0.000 0.000 0.000
```

Results
E	-5.650	eV/atom
E_form (uncorrected)	-786	meV/atom

Entry 5:
Entry from Alexandria: crystalline LaPS3 at its relaxed geometry (PBE-GGA).

CIF file:
```
data_LaPS3
_chemical_formula_sum 'La1 P1 S3'
_cell_length_a 4.638
_cell_length_b 4.638
_cell_length_c 4.638
_cell_angle_alpha 90.00
_cell_angle_beta 90.00
_cell_angle_gamma 90.00
_symmetry_space_group_name_H-M 'P m -3 m'
_symmetry_Int_Tables_number 221
_symmetry_space_group_name_Hall '-P 4 2 3'
loop_
_atom_site_label
_atom_site_type_symbol
_atom_site_fract_x
_atom_site_fract_y
_atom_site_fract_z
La1 La 0.000 0.000 0.000
P1 P 0.500 0.500 0.500
S1 S 0.000 0.500 0.500
```

Results
E	-5.470	eV/atom
E_form (uncorrected)	-926	meV/atom

Entry 6:
Entry from Alexandria: crystalline La6PS5 at its relaxed geometry (PBE-GGA).

CIF file:
```
data_La6PS5
_chemical_formula_sum 'La12 P2 S10'
_cell_length_a 7.233
_cell_length_b 12.532
_cell_length_c 7.239
_cell_angle_alpha 90.00
_cell_angle_beta 109.44
_cell_angle_gamma 90.00
_symmetry_space_group_name_H-M 'C 1 2/m 1'
_symmetry_Int_Tables_number 12
_symmetry_space_group_name_Hall '-C 2y'
loop_
_atom_site_label
_atom_site_type_symbol
_atom_site_fract_x
_atom_site_fract_y
_atom_site_fract_z
La1 La 0.248 0.000 0.252
La2 La 0.248 0.165 0.748
P1 P 0.000 0.000 0.500
S1 S 0.000 0.166 0.000
S2 S 0.000 0.333 0.500
S3 S 0.000 0.500 0.000
```

Results
E	-6.729	eV/atom
E_form (uncorrected)	-2095	meV/atom

Entry 7:
Entry from Alexandria: crystalline La2PS at its relaxed geometry (PBE-GGA).

CIF file:
```
data_La2PS
_chemical_formula_sum 'La2 P1 S1'
_cell_length_a 4.217
_cell_length_b 4.217
_cell_length_c 5.956
_cell_angle_alpha 90.00
_cell_angle_beta 90.00
_cell_angle_gamma 90.00
_symmetry_space_group_name_H-M 'P 4/m m m'
_symmetry_Int_Tables_number 123
_symmetry_space_group_name_Hall '-P 4 2'
loop_
_atom_site_label
_atom_site_type_symbol
_atom_site_fract_x
_atom_site_fract_y
_atom_site_fract_z
La1 La 0.000 0.000 0.000
La2 La 0.500 0.500 0.500
P1 P 0.000 0.000 0.500
S1 S 0.500 0.500 0.000
```

Results
E	-6.773	eV/atom
E_form (uncorrected)	-1925	meV/atom

Entry 8:
Entry from Alexandria: crystalline La5P4S at its relaxed geometry (PBE-GGA).

CIF file:
```
data_La5P4S
_chemical_formula_sum 'La10 P8 S2'
_cell_length_a 4.253
_cell_length_b 4.253
_cell_length_c 30.090
_cell_angle_alpha 90.00
_cell_angle_beta 90.00
_cell_angle_gamma 90.00
_symmetry_space_group_name_H-M 'I 4/m m m'
_symmetry_Int_Tables_number 139
_symmetry_space_group_name_Hall '-I 4 2'
loop_
_atom_site_label
_atom_site_type_symbol
_atom_site_fract_x
_atom_site_fract_y
_atom_site_fract_z
La1 La 0.000 0.000 0.000
La2 La 0.000 0.000 0.200
La3 La 0.000 0.000 0.399
P1 P 0.000 0.000 0.098
P2 P 0.000 0.000 0.301
S1 S 0.000 0.000 0.500
```

Results
E	-6.768	eV/atom
E_form (uncorrected)	-1727	meV/atom

Entry 9:
Entry from Alexandria: crystalline La2PS at its relaxed geometry (PBE-GGA).

CIF file:
```
data_La2PS
_chemical_formula_sum 'La8 P4 S4'
_cell_length_a 6.548
_cell_length_b 6.548
_cell_length_c 13.196
_cell_angle_alpha 90.00
_cell_angle_beta 90.00
_cell_angle_gamma 90.00
_symmetry_space_group_name_H-M 'I -4 2 d'
_symmetry_Int_Tables_number 122
_symmetry_space_group_name_Hall 'I -4 2bw'
loop_
_atom_site_label
_atom_site_type_symbol
_atom_site_fract_x
_atom_site_fract_y
_atom_site_fract_z
La1 La 0.248 0.250 0.125
P1 P 0.000 0.000 0.000
S1 S 0.000 0.000 0.500
```

Results
E	-6.253	eV/atom
E_form (uncorrected)	-1405	meV/atom

Entry 10:
Entry from Alexandria: crystalline La5P4S at its relaxed geometry (PBE-GGA).

CIF file:
```
data_La5P4S
_chemical_formula_sum 'La10 P8 S2'
_cell_length_a 4.257
_cell_length_b 6.012
_cell_length_c 21.277
_cell_angle_alpha 90.00
_cell_angle_beta 90.00
_cell_angle_gamma 90.00
_symmetry_space_group_name_H-M 'I m m m'
_symmetry_Int_Tables_number 71
_symmetry_space_group_name_Hall '-I 2 2'
loop_
_atom_site_label
_atom_site_type_symbol
_atom_site_fract_x
_atom_site_fract_y
_atom_site_fract_z
La1 La 0.000 0.000 0.000
La2 La 0.000 0.000 0.200
La3 La 0.000 0.000 0.398
P1 P 0.000 0.500 0.199
P2 P 0.000 0.500 0.401
S1 S 0.000 0.500 0.000
```

Results
E	-6.776	eV/atom
E_form (uncorrected)	-1735	meV/atom

Entry 11:
Entry from Alexandria: crystalline LaPS3 at its relaxed geometry (PBE-GGA).

CIF file:
```
data_LaPS3
_chemical_formula_sum 'La4 P4 S12'
_cell_length_a 5.857
_cell_length_b 8.671
_cell_length_c 10.829
_cell_angle_alpha 90.00
_cell_angle_beta 121.92
_cell_angle_gamma 90.00
_symmetry_space_group_name_H-M 'P 1 21/c 1'
_symmetry_Int_Tables_number 14
_symmetry_space_group_name_Hall '-P 2ybc'
loop_
_atom_site_label
_atom_site_type_symbol
_atom_site_fract_x
_atom_site_fract_y
_atom_site_fract_z
La1 La 0.178 0.129 0.247
P1 P 0.086 0.616 0.056
S1 S 0.047 0.155 0.923
S2 S 0.299 0.669 0.955
S3 S 0.349 0.525 0.264
```

Results
E	-5.646	eV/atom
E_form (uncorrected)	-1102	meV/atom

Entry 12:
Entry from Alexandria: crystalline La2PS at its relaxed geometry (PBE-GGA).

CIF file:
```
data_La2PS
_chemical_formula_sum 'La8 P4 S4'
_cell_length_a 7.208
_cell_length_b 7.208
_cell_length_c 7.208
_cell_angle_alpha 90.00
_cell_angle_beta 90.00
_cell_angle_gamma 90.00
_symmetry_space_group_name_H-M 'F m -3 m'
_symmetry_Int_Tables_number 225
_symmetry_space_group_name_Hall '-F 4 2 3'
loop_
_atom_site_label
_atom_site_type_symbol
_atom_site_fract_x
_atom_site_fract_y
_atom_site_fract_z
La1 La 0.250 0.250 0.250
P1 P 0.000 0.000 0.000
S1 S 0.000 0.000 0.500
```

Results
E	-6.430	eV/atom
E_form (uncorrected)	-1582	meV/atom